# 1
AgAsSe after structural relaxation, computed with PBE.

Calculated values
D(E_F) (states/eV/f.u.): 1.04

Cell: 6.423 6.423 6.423 Å, 153.85 138.55 49.67°
Element x y z (fractional)
As1 0.446 0.446 0.000
Se1 0.652 0.652 0.000
Ag1 0.902 0.902 0.000

---

# 2
Ag5AsSe6 after structural relaxation, computed with PBE.

Calculated values
D(E_F) (states/eV/f.u.): 5.76

Cell: 6.841 6.918 6.785 Å, 59.35 79.56 69.18°
Element x y z (fractional)
Ag1 0.500 0.159 0.683
Ag2 0.000 0.328 0.345
Ag3 0.500 0.500 0.000
Ag4 0.000 0.672 0.655
Ag5 0.500 0.841 0.317
As1 0.000 0.000 0.000
Se1 0.739 0.062 0.325
Se2 0.261 0.613 0.325
Se3 0.215 0.264 0.000
Se4 0.785 0.736 0.000
Se5 0.739 0.387 0.675
Se6 0.261 0.938 0.675

---

# 3
Ag3AsSe3 after structural relaxation, computed with PBE.

Calculated values
Polymorph energy (0 for the lowest one) (eV/atom): 0.000

Cell: 8.479 11.388 21.257 Å, 90.00 90.00 90.00°
Element x y z (fractional)
Ag1 0.213 0.429 0.046
Ag2 0.287 0.929 0.546
Ag3 0.128 0.515 0.816
Ag4 0.128 0.985 0.816
Ag5 0.295 0.387 0.709
Ag6 0.743 0.750 0.637
Ag7 0.787 0.929 0.954
Ag8 0.851 0.535 0.570
Ag9 0.705 0.613 0.291
Ag10 0.649 0.035 0.070
Ag11 0.628 0.515 0.684
Ag12 0.851 0.965 0.570
Ag13 0.372 0.015 0.316
Ag14 0.872 0.485 0.184
Ag15 0.351 0.965 0.930
Ag16 0.257 0.250 0.363
Ag17 0.213 0.071 0.046
Ag18 0.351 0.535 0.930
Ag19 0.295 0.113 0.709
Ag20 0.628 0.985 0.684
Ag21 0.149 0.465 0.430
Ag22 0.205 0.887 0.209
Ag23 0.757 0.250 0.137
Ag24 0.287 0.571 0.546
Ag25 0.713 0.071 0.454
Ag26 0.787 0.571 0.954
Ag27 0.243 0.750 0.863
Ag28 0.872 0.015 0.184
Ag29 0.795 0.387 0.791
Ag30 0.372 0.485 0.316
Ag31 0.705 0.887 0.291
Ag32 0.649 0.465 0.070
Ag33 0.205 0.613 0.209
Ag34 0.795 0.113 0.791
Ag35 0.149 0.035 0.430
Ag36 0.713 0.429 0.454
As1 0.762 0.750 0.806
As2 0.779 0.750 0.119
As3 0.238 0.250 0.194
As4 0.288 0.750 0.045
As5 0.221 0.250 0.881
As6 0.738 0.250 0.306
As7 0.262 0.750 0.694
As8 0.279 0.750 0.381
As9 0.788 0.750 0.455
As10 0.721 0.250 0.619
As11 0.212 0.250 0.545
As12 0.712 0.250 0.955
Se1 0.586 0.417 0.570
Se2 0.414 0.917 0.430
Se3 0.436 0.750 0.604
Se4 0.529 0.250 0.045
Se5 0.914 0.917 0.070
Se6 0.914 0.583 0.070
Se7 0.086 0.083 0.930
Se8 0.885 0.597 0.741
Se9 0.115 0.403 0.259
Se10 0.074 0.250 0.781
Se11 0.564 0.250 0.396
Se12 0.116 0.083 0.606
Se13 0.971 0.750 0.545
Se14 0.586 0.083 0.570
Se15 0.086 0.417 0.930
Se16 0.615 0.097 0.241
Se17 0.064 0.250 0.104
Se18 0.116 0.417 0.606
Se19 0.574 0.250 0.719
Se20 0.884 0.917 0.394
Se21 0.384 0.583 0.106
Se22 0.385 0.903 0.759
Se23 0.115 0.097 0.259
Se24 0.615 0.403 0.241
Se25 0.414 0.583 0.430
Se26 0.936 0.750 0.896
Se27 0.384 0.917 0.106
Se28 0.884 0.583 0.394
Se29 0.885 0.903 0.741
Se30 0.616 0.417 0.894
Se31 0.385 0.597 0.759
Se32 0.029 0.250 0.455
Se33 0.926 0.750 0.219
Se34 0.426 0.750 0.281
Se35 0.616 0.083 0.894
Se36 0.471 0.750 0.955

---

# 4
AgAsSe after structural relaxation, computed with PBE.

Calculated values
D(E_F) (states/eV/f.u.): 0.48

Cell: 4.164 6.194 12.383 Å, 90.00 90.00 90.00°
Element x y z (fractional)
Ag1 0.250 0.927 0.838
Ag2 0.250 0.573 0.338
Ag3 0.750 0.427 0.662
Ag4 0.750 0.073 0.162
As1 0.250 0.876 0.486
As2 0.250 0.624 0.986
As3 0.750 0.376 0.014
As4 0.750 0.124 0.514
Se1 0.250 0.808 0.157
Se2 0.250 0.692 0.657
Se3 0.750 0.308 0.343
Se4 0.750 0.192 0.843

---

# 5
AgAs2Se4 after structural relaxation, computed with PBE.

Calculated values
D(E_F) (states/eV/f.u.): 6.01
Polymorph energy (0 for the lowest one) (eV/atom): 0.000

Cell: 7.922 7.922 7.919 Å, 120.06 120.06 90.03°
Element x y z (fractional)
As1 0.625 0.375 0.750
As2 0.625 0.875 0.250
As3 0.625 0.375 0.250
As4 0.125 0.375 0.750
Se1 0.866 0.133 0.266
Se2 0.384 0.617 0.234
Se3 0.867 0.600 0.734
Se4 0.867 0.134 0.734
Se5 0.400 0.133 0.266
Se6 0.383 0.150 0.766
Se7 0.383 0.616 0.766
Se8 0.850 0.617 0.234
Ag1 0.250 0.750 0.500
Ag2 0.000 0.000 0.000

---

# 6
AgAsSe after structural relaxation, computed with PBE.

Calculated values
D(E_F) (states/eV/f.u.): 0.74

Cell: 4.941 7.195 6.293 Å, 44.89 95.57 85.73°
Element x y z (fractional)
Se1 0.422 0.206 0.593
Se2 0.578 0.794 0.407
As1 0.039 0.243 0.293
As2 0.961 0.757 0.707
Ag1 0.683 0.653 0.116
Ag2 0.317 0.347 0.884

---

# 7
Ag12As3Se5 after structural relaxation, computed with PBE.

Calculated values
D(E_F) (states/eV/f.u.): 14.21

Cell: 13.393 13.393 13.393 Å, 109.47 109.47 109.47°
Element x y z (fractional)
As1 0.750 0.375 0.125
As2 0.875 0.750 0.125
As3 0.375 0.750 0.625
As4 0.250 0.125 0.375
As5 0.875 0.125 0.250
As6 0.375 0.625 0.250
As7 0.625 0.375 0.750
As8 0.125 0.875 0.750
As9 0.750 0.875 0.625
As10 0.625 0.250 0.375
As11 0.125 0.250 0.875
As12 0.250 0.625 0.875
Se1 0.125 0.375 0.250
Se2 0.000 0.500 0.000
Se3 0.000 0.000 0.000
Se4 0.375 0.250 0.125
Se5 0.500 0.000 0.500
Se6 0.500 0.500 0.000
Se7 0.125 0.750 0.375
Se8 0.750 0.125 0.875
Se9 0.750 0.625 0.375
Se10 0.375 0.125 0.750
Se11 0.625 0.875 0.250
Se12 0.500 0.500 0.500
Se13 0.500 0.000 0.000
Se14 0.000 0.000 0.500
Se15 0.250 0.375 0.625
Se16 0.250 0.875 0.125
Se17 0.000 0.500 0.500
Se18 0.875 0.250 0.625
Se19 0.625 0.750 0.875
Se20 0.875 0.625 0.750
Ag1 0.736 0.129 0.063
Ag2 0.327 0.563 0.434
Ag3 0.937 0.371 0.264
Ag4 0.563 0.236 0.129
Ag5 0.606 0.736 0.673
Ag6 0.937 0.566 0.173
Ag7 0.327 0.764 0.394
Ag8 0.066 0.894 0.129
Ag9 0.566 0.937 0.673
Ag10 0.736 0.606 0.173
Ag11 0.764 0.437 0.371
Ag12 0.827 0.934 0.063
Ag13 0.129 0.736 0.563
Ag14 0.371 0.434 0.106
Ag15 0.106 0.934 0.371
Ag16 0.394 0.129 0.566
Ag17 0.106 0.173 0.236
Ag18 0.437 0.673 0.066
Ag19 0.827 0.894 0.264
Ag20 0.129 0.394 0.066
Ag21 0.371 0.937 0.764
Ag22 0.566 0.629 0.394
Ag23 0.934 0.827 0.563
Ag24 0.764 0.327 0.894
Ag25 0.434 0.371 0.606
Ag26 0.066 0.173 0.437
Ag27 0.236 0.673 0.106
Ag28 0.173 0.106 0.736
Ag29 0.629 0.063 0.236
Ag30 0.871 0.606 0.934
Ag31 0.563 0.327 0.934
Ag32 0.606 0.871 0.434
Ag33 0.894 0.827 0.764
Ag34 0.894 0.066 0.629
Ag35 0.871 0.264 0.437
Ag36 0.173 0.066 0.937
Ag37 0.629 0.566 0.894
Ag38 0.434 0.063 0.327
Ag39 0.264 0.394 0.827
Ag40 0.236 0.563 0.629
Ag41 0.934 0.106 0.871
Ag42 0.673 0.236 0.606
Ag43 0.437 0.764 0.871
Ag44 0.063 0.434 0.827
Ag45 0.394 0.264 0.327
Ag46 0.063 0.629 0.736
Ag47 0.673 0.437 0.566
Ag48 0.264 0.871 0.937

---

# 8
SiAg2AsSe4 after structural relaxation, computed with PBE.

Calculated values
D(E_F) (states/eV/f.u.): 3.28

Cell: 5.882 5.786 9.058 Å, 98.42 130.41 83.17°
Element x y z (fractional)
Si1 0.744 0.734 0.454
Ag1 0.425 0.214 0.168
Ag2 0.328 0.258 0.492
As1 0.924 0.196 0.796
Se1 0.743 0.599 0.689
Se2 0.813 0.495 0.264
Se3 0.273 0.895 0.255
Se4 0.137 0.995 0.656

---

The calculation returns the following ΔE_f (raw) values, one per record and in order: 140 -38 -107 -70 -29 44 108 -142 meV per atom.
The calculation returns the following electronic total energy values, one per record and in order: -3.52 -3.36 -3.49 -3.73 -3.76 -3.62 -3.17 -3.86 eV per atom.